Computed, not measured: an optimized crystal structure of Ac2Pr3Ge4 at the PBE-GGA level of DFT.

Cell lengths 8.1788, 8.3148, 8.0944 Å; angles 90.00, 106.89, 90.00 degrees
With the nearest neighbours (Å) after each atom.
Positions (direct):
Ac (0.1994, 0.1768, 0.0819)  6 Ge 3.23-3.52
Ac (0.1994, 0.3232, 0.5819)  6 Ge 3.23-3.52
Ac (0.8006, 0.6768, 0.4181)  6 Ge 3.23-3.52
Ac (0.8006, 0.8232, 0.9181)  6 Ge 3.23-3.52
Pr (0.2451, 0.6754, 0.2601)  6 Ge 3.05-3.21
Pr (0.2451, 0.8246, 0.7601)  6 Ge 3.05-3.21
Pr (0.5000, 0.0000, 0.5000)  6 Ge 3.17-3.28
Pr (0.5000, 0.5000, 0.0000)  6 Ge 3.17-3.28
Pr (0.7549, 0.1754, 0.2399)  6 Ge 3.05-3.21
Pr (0.7549, 0.3246, 0.7399)  6 Ge 3.05-3.21
Ge (0.0820, 0.5333, 0.8790)  1 Ge 2.73, 1 Pr 3.05
Ge (0.0820, 0.9667, 0.3790)  1 Ge 2.73, 1 Pr 3.05
Ge (0.4934, 0.1299, 0.8666)  1 Ge 3.03, 5 Pr 3.09-3.26, 2 Ac 3.23-3.38
Ge (0.4934, 0.3701, 0.3666)  1 Ge 3.03, 5 Pr 3.09-3.26, 2 Ac 3.23-3.38
Ge (0.5066, 0.6299, 0.6334)  1 Ge 3.03, 5 Pr 3.09-3.26, 2 Ac 3.23-3.38
Ge (0.5066, 0.8701, 0.1334)  1 Ge 3.03, 5 Pr 3.09-3.26, 2 Ac 3.23-3.38
Ge (0.9180, 0.0333, 0.6210)  1 Ge 2.73, 1 Pr 3.05
Ge (0.9180, 0.4667, 0.1210)  1 Ge 2.73, 1 Pr 3.05

Properties
Space-group type: P2_1/c
Energy relative to the elements, eV/atom: -0.78
Uncorrected energy, eV for the cell shown: -96.06
DOS at the Fermi energy, states/eV per cell: 15.39